Compound: Tb2In3Au2
Source: Alexandria via LeMat-Bulk
Functional: GGA-PBEsol
Structure: relaxed

Results
Magnetic moment (μB/atom): 0.00
E_form (meV per atom): -615

abc: 10.637 4.375 7.335
angles: 90.00 112.39 90.00
Space group C2/m (No. 12)
One atom of each set of equivalent atoms:
Tb (0.146, 0.000, 0.292) (multiplicity 4)
In (0.000, 0.500, 0.500) (multiplicity 2)
In (0.112, 0.500, 0.936) (multiplicity 4)
Au (0.161, 0.000, 0.713) (multiplicity 4)